Density functional theory data (GGA-PBE) for LaDy8Er6 after structural relaxation.

Results
- Space group: R-3 (148)
- Relative energy among the computed polymorphs: 0.0 kJ per mole of atoms
- E_form: 2.09 eV/f.u.

Cell: 8.6061 8.6061 8.6061 Å, 62.88 62.88 62.88°
With the nearest neighbours (Å) after each atom.
Atoms (fractional coordinates):
1 La 0.0000 0.0000 0.0000  6 Er 3.46, 6 Dy 3.52
2 Dy 0.1114 0.7186 0.7460  3 Er 3.38-3.77, 5 Dy 3.39-3.41, 1 La 3.52
3 Dy 0.2540 0.8886 0.2814  3 Er 3.38-3.77, 5 Dy 3.39-3.41, 1 La 3.52
4 Dy 0.2814 0.2540 0.8886  3 Er 3.38-3.77, 5 Dy 3.39-3.41, 1 La 3.52
5 Dy 0.4230 0.4230 0.4230  4 Dy 3.17-3.39, 3 Er 3.34
6 Dy 0.5770 0.5770 0.5770  4 Dy 3.17-3.39, 3 Er 3.34
7 Dy 0.7186 0.7460 0.1114  3 Er 3.38-3.77, 5 Dy 3.39-3.41, 1 La 3.52
8 Dy 0.7460 0.1114 0.7186  3 Er 3.38-3.77, 5 Dy 3.39-3.41, 1 La 3.52
9 Dy 0.8886 0.2814 0.2540  3 Er 3.38-3.77, 5 Dy 3.39-3.41, 1 La 3.52
10 Er 0.1035 0.5353 0.2389  3 Dy 3.34-3.39, 2 Er 3.43, 1 La 3.46
11 Er 0.2389 0.1035 0.5353  3 Dy 3.34-3.39, 2 Er 3.43, 1 La 3.46
12 Er 0.4647 0.7610 0.8965  3 Dy 3.34-3.39, 2 Er 3.43, 1 La 3.46
13 Er 0.5353 0.2390 0.1035  3 Dy 3.34-3.39, 2 Er 3.43, 1 La 3.46
14 Er 0.7610 0.8965 0.4647  3 Dy 3.34-3.39, 2 Er 3.43, 1 La 3.46
15 Er 0.8965 0.4647 0.7610  3 Dy 3.34-3.39, 2 Er 3.43, 1 La 3.46